(1)
First-principles (PBE) data for a relaxed Al5Ni7 crystal, as listed in OQMD via LeMat-Bulk.

Unit cell a=4.8702 b=4.8702 c=14.9717 alpha=90.00 beta=90.00 gamma=120.00
With the nearest neighbours (Å) after each atom.
Atoms (fractional coordinates):
Al1 0.0000 0.0000 0.3874  3 Ni 2.48
Ni1 0.6713 0.8357 0.2500  6 Ni 2.38-2.47, 2 Al 2.48
Ni2 0.6667 0.3333 0.1509  6 Al 2.66-2.87, 10 Ni 2.84-2.97
Al2 0.0000 0.5000 0.5000  2 Ni 2.31, 4 Al 2.44
Al3 0.0000 0.0000 0.8874  3 Ni 2.48
Al4 0.0000 0.5000 0.0000  2 Ni 2.31, 4 Al 2.44
Al5 0.5000 0.5000 0.5000  2 Ni 2.31, 4 Al 2.44
Ni3 0.3333 0.6667 0.8491  6 Al 2.66-2.87, 10 Ni 2.84-2.97
Ni4 0.3333 0.6667 0.1224  3 Al 2.31, 3 Ni 2.38
Ni5 0.3287 0.1643 0.7500  6 Ni 2.38-2.47, 2 Al 2.48
Al6 0.0000 0.0000 0.6126  3 Ni 2.48
Al7 0.0000 0.0000 0.1126  3 Ni 2.48
Ni6 0.6667 0.3333 0.8776  3 Al 2.31, 3 Ni 2.38
Ni7 0.3333 0.6667 0.6509  6 Al 2.66-2.87, 10 Ni 2.84-2.97
Ni8 0.6667 0.3333 0.6224  3 Al 2.31, 3 Ni 2.38
Al8 0.5000 0.0000 0.0000  2 Ni 2.31, 4 Al 2.44
Ni9 0.8357 0.1643 0.7500  6 Ni 2.38-2.47, 2 Al 2.48
Ni10 0.3333 0.6667 0.3776  3 Al 2.31, 3 Ni 2.38
Al9 0.5000 0.5000 0.0000  2 Ni 2.31, 4 Al 2.44
Al10 0.5000 0.0000 0.5000  2 Ni 2.31, 4 Al 2.44
Ni11 0.6667 0.3333 0.3491  6 Al 2.66-2.87, 10 Ni 2.84-2.97
Ni12 0.1643 0.3287 0.2500  6 Ni 2.38-2.47, 2 Al 2.48
Ni13 0.1643 0.8357 0.2500  6 Ni 2.38-2.47, 2 Al 2.48
Ni14 0.8357 0.6713 0.7500  6 Ni 2.38-2.47, 2 Al 2.48

For the energy relative to the lowest polymorph listed for this composition, the calculation gives 0.053 eV per atom. The calculation puts the total magnetic moment at 0.00 μB/cell.



(2)
First-principles (PBE) data for a relaxed Tb2Sm3Tm crystal, as listed in OQMD via LeMat-Bulk.

Unit cell a=6.2156 b=6.2156 c=11.5521 alpha=90.00 beta=90.00 gamma=59.97
With the nearest neighbours (Å) after each atom.
Atoms (fractional coordinates):
Tm1 0.6665 0.3335 0.2803  6 Sm 3.55-3.56, 6 Tb 3.59
Tb1 0.0008 0.3331 0.7804  6 Sm 3.55-3.56, 3 Tb 3.58-3.60, 3 Tm 3.59
Sm1 0.0005 0.9995 0.5304  2 Tm 3.55-3.56, 4 Tb 3.55-3.56, 6 Sm 3.58-3.60
Tm2 0.3335 0.6665 0.7803  6 Sm 3.55-3.56, 6 Tb 3.59
Sm2 0.9995 0.0005 0.0304  2 Tm 3.55-3.56, 4 Tb 3.55-3.56, 6 Sm 3.58-3.60
Tb2 0.3331 0.0008 0.2804  6 Sm 3.55-3.56, 3 Tb 3.58-3.60, 3 Tm 3.59
Sm3 0.6652 0.6664 0.0304  2 Tm 3.55, 4 Tb 3.55-3.56, 6 Sm 3.57-3.60
Tb3 0.9992 0.6669 0.2804  6 Sm 3.55-3.56, 3 Tb 3.58-3.60, 3 Tm 3.59
Sm4 0.3348 0.3336 0.5304  2 Tm 3.55, 4 Tb 3.55-3.56, 6 Sm 3.57-3.60
Sm5 0.3336 0.3348 0.0304  2 Tm 3.55, 4 Tb 3.55-3.56, 6 Sm 3.57-3.60
Tb4 0.6669 0.9992 0.7804  6 Sm 3.55-3.56, 3 Tb 3.58-3.60, 3 Tm 3.59
Sm6 0.6664 0.6652 0.5304  2 Tm 3.55, 4 Tb 3.55-3.56, 6 Sm 3.57-3.60

The calculation puts the total magnetic moment at 0.01 μB/cell. The calculation puts the total DFT energy (no corrections) at -55.78 eV for the cell shown.